# 1
Li3Zn2CdPd3: relaxed, PBE.

Structure (POSCAR):
```
Li3Zn2CdPd3
1.0
7.377 0.000 0.000
-3.688 6.389 0.000
0.000 0.000 2.847
Li Zn Cd Pd
3 2 1 3
direct
0.000 0.309 0.000
0.309 0.000 0.000
0.691 0.691 0.000
0.333 0.667 0.000
0.667 0.333 0.000
0.000 0.000 0.500
0.000 0.622 0.500
0.378 0.378 0.500
0.622 0.000 0.500
```

Calculated values
- Space-group type: P-62m (189)
- D(E_F): 0.32 states/eV per atom
- Magnetization: 0.000 μB per atom
- Crystal system: hexagonal
- DFT formation energy: -423 meV/atom


# 2
Tb2Pm2ErTm2: relaxed, PBE.

Structure (POSCAR):
```
Tb2Pm2ErTm2
1.0
2.829 1.633 8.147
-2.829 1.633 8.147
0.000 -3.267 8.147
Tb Pm Er Tm
2 2 1 2
direct
0.214 0.214 0.214
0.786 0.786 0.786
0.361 0.361 0.361
0.639 0.639 0.639
0.500 0.500 0.500
0.072 0.072 0.072
0.928 0.928 0.928
```

Calculated values
- Space-group type: R-3m (166)
- D(E_F): 2.32 states/eV per atom
- Magnetization: 0.000 μB per atom
- Crystal system: trigonal
- DFT formation energy: 137 meV/atom


# 3
Hg2OsSe: relaxed, PBE.

Structure (POSCAR):
```
Hg2OsSe
1.0
3.035 0.000 0.000
0.000 3.035 0.000
0.000 0.000 9.579
Hg Os Se
2 1 1
direct
0.000 0.000 0.000
0.500 0.500 0.287
0.000 0.000 0.522
0.500 0.500 0.656
```

Calculated values
- Space-group type: P4mm (99)
- Formation energy without anion corrections: 0.29 eV/atom
- D(E_F): 0.23 states/eV per atom
- Magnetization: 0.000 μB per atom
- Crystal system: tetragonal


# 4
Sm3MgIr: relaxed, PBE.

Structure (POSCAR):
```
Sm3MgIr
1.0
5.515 0.000 0.000
0.000 5.515 0.000
0.000 0.000 5.515
Sm Mg Ir
3 1 1
direct
0.000 0.000 0.500
0.000 0.500 0.000
0.500 0.000 0.000
0.500 0.500 0.500
0.000 0.000 0.000
```

Calculated values
- Space-group type: Pm-3m (221)
- Distance to the lowest polymorph of the same formula: 124.8 meV per atom
- D(E_F): 1.03 states/eV per atom
- Magnetization: 0.000 μB per atom
- Crystal system: cubic
- DFT formation energy: -218 meV/atom


# 5
Ba2LaPt: relaxed, PBE.

Structure (POSCAR):
```
Ba2LaPt
1.0
-2.386 2.386 5.908
2.386 -2.386 5.908
2.386 2.386 -5.908
Ba La Pt
2 1 1
direct
0.000 0.000 0.000
0.750 0.250 0.500
0.250 0.750 0.500
0.500 0.500 0.000
```

Calculated values
- Space-group type: I-4m2 (119)
- Distance to the lowest polymorph of the same formula: 584.2 meV per atom
- D(E_F): 1.06 states/eV per atom
- Magnetization: 0.000 μB per atom
- Crystal system: tetragonal
- DFT formation energy: 6 meV/atom


# 6
PSO: relaxed, PBE.

Structure (POSCAR):
```
PSO
1.0
2.521 0.000 0.000
0.005 3.589 0.000
1.047 1.481 5.945
P S O
1 1 1
direct
0.000 0.000 0.000
0.869 0.190 0.316
0.783 0.874 0.524
```

Calculated values
- Space-group type: P1 (1)
- Distance to the lowest polymorph of the same formula: 942.2 meV per atom
- Formation energy without anion corrections: 0.05 eV/atom
- D(E_F): 0.46 states/eV per atom
- Magnetization: 0.000 μB per atom
- Crystal system: triclinic


# 7
FeRhW: relaxed, PBE.

Structure (POSCAR):
```
FeRhW
1.0
-1.353 1.353 5.731
1.353 -1.353 5.731
1.353 1.353 -5.731
Fe Rh W
1 1 1
direct
0.000 0.000 0.000
0.657 0.657 0.000
0.331 0.331 0.000
```

Calculated values
- Space-group type: I4mm (107)
- Distance to the lowest polymorph of the same formula: 45.0 meV per atom
- D(E_F): 0.94 states/eV per atom
- Magnetization: 0.747 μB per atom
- Crystal system: tetragonal
- DFT formation energy: 31 meV/atom


# 8
POsPb3: relaxed, PBE.

Structure (POSCAR):
```
POsPb3
1.0
5.252 0.000 0.000
0.000 5.252 0.000
0.000 0.000 5.252
P Os Pb
1 1 3
direct
0.000 0.000 0.000
0.500 0.500 0.500
0.000 0.500 0.500
0.500 0.000 0.500
0.500 0.500 0.000
```

Calculated values
- Space-group type: Pm-3m (221)
- Distance to the lowest polymorph of the same formula: 0.0 meV per atom
- D(E_F): 0.84 states/eV per atom
- Magnetization: 0.149 μB per atom
- Crystal system: cubic
- DFT formation energy: 682 meV/atom